Record 1
# DyNiRh (PBE, relaxed)
# - electronic total energy (eV/atom) = -6.229
# - M_tot (μB per formula unit) = 0.00
# - calculated volume (Å³ per atom) = 17.40
# - formation energy (eV/atom) = -0.32
data_DyNiRh
_cell_length_a 3.377
_cell_length_b 3.377
_cell_length_c 9.155
_cell_angle_alpha 90.00
_cell_angle_beta 90.00
_cell_angle_gamma 90.00
_symmetry_space_group_name_H-M 'I 4 m m'
_symmetry_Int_Tables_number 107
_symmetry_space_group_name_Hall 'I 4 -2'
loop_
_atom_site_label
_atom_site_fract_x
_atom_site_fract_y
_atom_site_fract_z
_atom_site_occupancy
Dy1 0.000 0.000 0.000 1
Ni1 0.000 0.000 0.696 1
Rh1 0.000 0.000 0.306 1

=====

Record 2
# Bi2BRh (PBE, relaxed)
# - electronic total energy (eV/atom) = -4.820
# - M_tot (μB per formula unit) = 0.00
# - calculated volume (Å³ per atom) = 24.41
# - formation energy (eV/atom) = 0.63
data_Bi2BRh
_cell_length_a 6.050
_cell_length_b 6.050
_cell_length_c 10.669
_cell_angle_alpha 90.00
_cell_angle_beta 90.00
_cell_angle_gamma 90.00
_symmetry_space_group_name_H-M 'I -4 2 d'
_symmetry_Int_Tables_number 122
_symmetry_space_group_name_Hall 'I -4 2bw'
loop_
_atom_site_label
_atom_site_fract_x
_atom_site_fract_y
_atom_site_fract_z
_atom_site_occupancy
Bi1 0.214 0.250 0.125 1
B1 0.000 0.000 0.000 1
Rh1 0.000 0.000 0.500 1

=====

Record 3
# TcSbRu2 (PBE, relaxed)
# - electronic total energy (eV/atom) = -8.128
# - M_tot (μB per formula unit) = 0.00
# - calculated volume (Å³ per atom) = 15.48
# - formation energy without anion corrections (eV/atom) = 0.1316
data_TcSbRu2
_cell_length_a 4.010
_cell_length_b 4.010
_cell_length_c 7.700
_cell_angle_alpha 90.00
_cell_angle_beta 90.00
_cell_angle_gamma 90.00
_symmetry_space_group_name_H-M 'I 4/m m m'
_symmetry_Int_Tables_number 139
_symmetry_space_group_name_Hall '-I 4 2'
loop_
_atom_site_label
_atom_site_fract_x
_atom_site_fract_y
_atom_site_fract_z
_atom_site_occupancy
Tc1 0.000 0.000 0.000 1
Sb1 0.000 0.000 0.500 1
Ru1 0.000 0.500 0.250 1

=====

Record 4
# Y2Ag3Pb3 (PBE, relaxed)
# - electronic total energy (eV/atom) = -4.342
# - M_tot (μB per formula unit) = 0.00
# - calculated volume (Å³ per atom) = 24.47
# - formation energy (eV/atom) = -0.27
data_Y2Ag3Pb3
_cell_length_a 4.675
_cell_length_b 4.800
_cell_length_c 8.724
_cell_angle_alpha 90.00
_cell_angle_beta 90.00
_cell_angle_gamma 90.00
_symmetry_space_group_name_H-M 'P m m m'
_symmetry_Int_Tables_number 47
loop_
_symmetry_equiv_pos_as_xyz
'x,y,z'
'-x,-y,-z'
'-x,-y,z'
'x,y,-z'
'x,-y,-z'
'-x,y,z'
'-x,y,-z'
'x,-y,z'
loop_
_atom_site_label
_atom_site_fract_x
_atom_site_fract_y
_atom_site_fract_z
_atom_site_occupancy
Y1 0.000 0.000 0.247 1
Ag1 0.000 0.500 0.000 1
Ag2 0.500 0.500 0.233 1
Pb1 0.000 0.500 0.500 1
Pb2 0.500 0.000 0.000 1
Pb3 0.500 0.000 0.500 1

=====

Record 5
# ScTlCuAg (PBE, relaxed)
# - electronic total energy (eV/atom) = -4.023
# - M_tot (μB per formula unit) = 0.00
# - calculated volume (Å³ per atom) = 18.80
# - formation energy (eV/atom) = -0.11
data_ScTlCuAg
_cell_length_a 6.700
_cell_length_b 6.700
_cell_length_c 6.700
_cell_angle_alpha 90.00
_cell_angle_beta 90.00
_cell_angle_gamma 90.00
_symmetry_space_group_name_H-M 'F -4 3 m'
_symmetry_Int_Tables_number 216
_symmetry_space_group_name_Hall 'F -4 2 3'
loop_
_atom_site_label
_atom_site_fract_x
_atom_site_fract_y
_atom_site_fract_z
_atom_site_occupancy
Sc1 0.000 0.000 0.000 1
Tl1 0.000 0.000 0.500 1
Cu1 0.250 0.250 0.250 1
Ag1 0.250 0.250 0.750 1

=====

Record 6
# NdHo6Tl5 (PBE, relaxed)
# - electronic total energy (eV/atom) = -3.935
# - M_tot (μB per formula unit) = 0.00
# - calculated volume (Å³ per atom) = 27.98
# - formation energy (eV/atom) = -0.26
data_NdHo6Tl5
_cell_length_a 5.036
_cell_length_b 8.734
_cell_length_c 15.266
_cell_angle_alpha 90.00
_cell_angle_beta 90.00
_cell_angle_gamma 90.00
_symmetry_space_group_name_H-M 'I m m m'
_symmetry_Int_Tables_number 71
_symmetry_space_group_name_Hall '-I 2 2'
loop_
_atom_site_label
_atom_site_fract_x
_atom_site_fract_y
_atom_site_fract_z
_atom_site_occupancy
Nd1 0.000 0.000 0.000 1
Ho1 0.000 0.223 0.500 1
Ho2 0.000 0.266 0.170 1
Tl1 0.000 0.000 0.319 1
Tl2 0.000 0.500 0.000 1
Tl3 0.000 0.500 0.351 1

=====

Record 7
# CsTbScSe3 (PBE, relaxed)
# - electronic total energy (eV/atom) = -5.304
# - M_tot (μB per formula unit) = 0.00
# - calculated volume (Å³ per atom) = 34.78
# - formation energy without anion corrections (eV/atom) = -1.5922
data_CsTbScSe3
_cell_length_a 9.624
_cell_length_b 4.414
_cell_length_c 10.548
_cell_angle_alpha 90.00
_cell_angle_beta 111.34
_cell_angle_gamma 90.00
_symmetry_space_group_name_H-M 'P 1 21/m 1'
_symmetry_Int_Tables_number 11
loop_
_symmetry_equiv_pos_as_xyz
'x,y,z'
'-x,-y,-z'
'-x,y+1/2,-z'
'x,-y+1/2,z'
loop_
_atom_site_label
_atom_site_fract_x
_atom_site_fract_y
_atom_site_fract_z
_atom_site_occupancy
Cs1 0.220 0.250 0.237 1
Tb1 0.337 0.750 0.868 1
Sc1 0.089 0.250 0.610 1
Se1 0.128 0.250 0.865 1
Se2 0.201 0.750 0.555 1
Se3 0.478 0.750 0.155 1

=====

Record 8
# Ce2ErTl2 (PBE, relaxed)
# - electronic total energy (eV/atom) = -4.424
# - M_tot (μB per formula unit) = 0.79
# - calculated volume (Å³ per atom) = 27.36
# - formation energy (eV/atom) = -0.19
data_Ce2ErTl2
_cell_length_a 10.611
_cell_length_b 4.017
_cell_length_c 8.292
_cell_angle_alpha 90.00
_cell_angle_beta 129.28
_cell_angle_gamma 90.00
_symmetry_space_group_name_H-M 'C 1 2/m 1'
_symmetry_Int_Tables_number 12
loop_
_symmetry_equiv_pos_as_xyz
'x,y,z'
'-x,-y,-z'
'-x,y,-z'
'x,-y,z'
'x+1/2,y+1/2,z'
'-x+1/2,-y+1/2,-z'
'-x+1/2,y+1/2,-z'
'x+1/2,-y+1/2,z'
loop_
_atom_site_label
_atom_site_fract_x
_atom_site_fract_y
_atom_site_fract_z
_atom_site_occupancy
Ce1 0.213 0.000 0.078 1
Er1 0.000 0.000 0.500 1
Tl1 0.107 0.500 0.301 1

=====

Record 9
# Cd5In (PBE, relaxed)
# - electronic total energy (eV/atom) = -1.183
# - M_tot (μB per formula unit) = 0.00
# - calculated volume (Å³ per atom) = 23.50
# - formation energy (eV/atom) = 0.04
data_Cd5In
_cell_length_a 5.6144
_cell_length_b 5.6144
_cell_length_c 5.1658
_cell_angle_alpha 90.00
_cell_angle_beta 90.00
_cell_angle_gamma 120.00
_symmetry_space_group_name_H-M 'P -6 2 m'
_symmetry_Int_Tables_number 189
_symmetry_space_group_name_Hall 'P -6 -2'
loop_
_atom_site_label
_atom_site_fract_x
_atom_site_fract_y
_atom_site_fract_z
_atom_site_occupancy
Cd1 0.0000 0.6597 0.0000 1
Cd2 0.3333 0.6667 0.5000 1
In1 0.0000 0.0000 0.5000 1

=====

Record 10
# Ac2U3IrRh12 (PBE, relaxed)
# - electronic total energy (eV/atom) = -7.966
# - M_tot (μB per formula unit) = 0.69
# - calculated volume (Å³ per atom) = 19.13
# - formation energy (eV/atom) = -0.23
data_Ac2U3IrRh12
_cell_length_a 9.4870
_cell_length_b 9.4870
_cell_length_c 13.2564
_cell_angle_alpha 90.00
_cell_angle_beta 90.00
_cell_angle_gamma 120.00
_symmetry_space_group_name_H-M 'R -3 m'
_symmetry_Int_Tables_number 166
_symmetry_space_group_name_Hall '-R 3 2"'
loop_
_atom_site_label
_atom_site_fract_x
_atom_site_fract_y
_atom_site_fract_z
_atom_site_occupancy
Ac1 0.0000 0.0000 0.1378 1
U1 0.0000 0.5000 0.0000 1
Ir1 0.0000 0.0000 0.5000 1
Rh1 0.0086 0.5043 0.1828 1
Rh2 0.0088 0.5044 0.3931 1

=====

Record 11
# Zr4Tc2Rh (PBE, relaxed)
# - electronic total energy (eV/atom) = -9.268
# - M_tot (μB per formula unit) = 0.00
# - calculated volume (Å³ per atom) = 19.75
# - formation energy (eV/atom) = -0.37
data_Zr4Tc2Rh
_cell_length_a 4.6040
_cell_length_b 4.6040
_cell_length_c 22.5986
_cell_angle_alpha 90.00
_cell_angle_beta 90.00
_cell_angle_gamma 120.00
_symmetry_space_group_name_H-M 'R -3 m'
_symmetry_Int_Tables_number 166
_symmetry_space_group_name_Hall '-R 3 2"'
loop_
_atom_site_label
_atom_site_fract_x
_atom_site_fract_y
_atom_site_fract_z
_atom_site_occupancy
Zr1 0.0000 0.0000 0.1214 1
Zr2 0.0000 0.0000 0.3722 1
Tc1 0.0000 0.0000 0.2488 1
Rh1 0.0000 0.0000 0.5000 1

=====

Record 12
# Hg3ClF (PBE, relaxed)
# - electronic total energy (eV/atom) = -1.111
# - M_tot (μB per formula unit) = 1.66
# - calculated volume (Å³ per atom) = 27.00
# - formation energy without anion corrections (eV/atom) = -0.1862
data_Hg3ClF
_cell_length_a 5.130
_cell_length_b 5.130
_cell_length_c 5.130
_cell_angle_alpha 90.00
_cell_angle_beta 90.00
_cell_angle_gamma 90.00
_symmetry_space_group_name_H-M 'P m -3 m'
_symmetry_Int_Tables_number 221
_symmetry_space_group_name_Hall '-P 4 2 3'
loop_
_atom_site_label
_atom_site_fract_x
_atom_site_fract_y
_atom_site_fract_z
_atom_site_occupancy
Hg1 0.000 0.000 0.500 1
Cl1 0.500 0.500 0.500 1
F1 0.000 0.000 0.000 1

=====

Record 13
# LiTi2P (PBE, relaxed)
# - electronic total energy (eV/atom) = -5.950
# - M_tot (μB per formula unit) = 0.00
# - calculated volume (Å³ per atom) = 15.58
# - formation energy (eV/atom) = -0.17
data_LiTi2P
_cell_length_a 6.998
_cell_length_b 6.998
_cell_length_c 5.089
_cell_angle_alpha 90.00
_cell_angle_beta 90.00
_cell_angle_gamma 90.00
_symmetry_space_group_name_H-M 'I -4 2 d'
_symmetry_Int_Tables_number 122
_symmetry_space_group_name_Hall 'I -4 2bw'
loop_
_atom_site_label
_atom_site_fract_x
_atom_site_fract_y
_atom_site_fract_z
_atom_site_occupancy
Li1 0.000 0.000 0.000 1
Ti1 0.224 0.250 0.625 1
P1 0.000 0.000 0.500 1

=====

Record 14
# Mg14GaSn (PBE, relaxed)
# - electronic total energy (eV/atom) = -1.871
# - M_tot (μB per formula unit) = 0.00
# - calculated volume (Å³ per atom) = 22.50
# - formation energy (eV/atom) = -0.04
data_Mg14GaSn
_cell_length_a 6.336
_cell_length_b 6.336
_cell_length_c 8.970
_cell_angle_alpha 90.00
_cell_angle_beta 90.00
_cell_angle_gamma 90.00
_symmetry_space_group_name_H-M 'P 4/m m m'
_symmetry_Int_Tables_number 123
_symmetry_space_group_name_Hall '-P 4 2'
loop_
_atom_site_label
_atom_site_fract_x
_atom_site_fract_y
_atom_site_fract_z
_atom_site_occupancy
Mg1 0.000 0.000 0.000 1
Mg2 0.000 0.500 0.000 1
Mg3 0.000 0.500 0.500 1
Mg4 0.246 0.246 0.253 1
Mg5 0.500 0.500 0.000 1
Ga1 0.000 0.000 0.500 1
Sn1 0.500 0.500 0.500 1

=====

Record 15
# Ca2Re3 (PBE, relaxed)
# - electronic total energy (eV/atom) = -7.505
# - M_tot (μB per formula unit) = 0.00
# - calculated volume (Å³ per atom) = 18.43
# - formation energy (eV/atom) = 0.76
data_Ca2Re3
_cell_length_a 2.9207
_cell_length_b 2.9207
_cell_length_c 37.4175
_cell_angle_alpha 90.00
_cell_angle_beta 90.00
_cell_angle_gamma 120.00
_symmetry_space_group_name_H-M 'R -3 m'
_symmetry_Int_Tables_number 166
_symmetry_space_group_name_Hall '-R 3 2"'
loop_
_atom_site_label
_atom_site_fract_x
_atom_site_fract_y
_atom_site_fract_z
_atom_site_occupancy
Ca1 0.0000 0.0000 0.0978 1
Re1 0.0000 0.0000 0.3065 1
Re2 0.0000 0.0000 0.5000 1

=====

Record 16
# Sm2GeH2 (PBE, relaxed)
# - electronic total energy (eV/atom) = -4.854
# - M_tot (μB per formula unit) = 0.00
# - calculated volume (Å³ per atom) = 17.30
data_Sm2GeH2
_cell_length_a 5.234
_cell_length_b 5.396
_cell_length_c 6.651
_cell_angle_alpha 90.00
_cell_angle_beta 112.96
_cell_angle_gamma 90.00
_symmetry_space_group_name_H-M 'C 1 2/m 1'
_symmetry_Int_Tables_number 12
loop_
_symmetry_equiv_pos_as_xyz
'x,y,z'
'-x,-y,-z'
'-x,y,-z'
'x,-y,z'
'x+1/2,y+1/2,z'
'-x+1/2,-y+1/2,-z'
'-x+1/2,y+1/2,-z'
'x+1/2,-y+1/2,z'
loop_
_atom_site_label
_atom_site_fract_x
_atom_site_fract_y
_atom_site_fract_z
_atom_site_occupancy
Sm1 0.141 0.000 0.280 1
Ge1 0.000 0.500 0.000 1
H1 0.000 0.250 0.500 1

=====

Record 17
# Pa5Hg2 (PBE, relaxed)
# - electronic total energy (eV/atom) = -6.821
# - M_tot (μB per formula unit) = 0.00
# - calculated volume (Å³ per atom) = 24.49
# - formation energy (eV/atom) = 0.05
data_Pa5Hg2
_cell_length_a 3.145
_cell_length_b 3.145
_cell_length_c 34.665
_cell_angle_alpha 90.00
_cell_angle_beta 90.00
_cell_angle_gamma 90.00
_symmetry_space_group_name_H-M 'I 4/m m m'
_symmetry_Int_Tables_number 139
_symmetry_space_group_name_Hall '-I 4 2'
loop_
_atom_site_label
_atom_site_fract_x
_atom_site_fract_y
_atom_site_fract_z
_atom_site_occupancy
Pa1 0.000 0.000 0.000 1
Pa2 0.000 0.000 0.144 1
Pa3 0.000 0.000 0.428 1
Hg1 0.000 0.000 0.284 1

=====

Record 18
# Cs2LiRuO6 (PBE, relaxed)
# - electronic total energy (eV/atom) = -5.262
# - M_tot (μB per formula unit) = 1.04
# - calculated volume (Å³ per atom) = 18.36
# - formation energy without anion corrections (eV/atom) = -0.9976
data_Cs2LiRuO6
_cell_length_a 6.4322
_cell_length_b 6.4322
_cell_length_c 5.1247
_cell_angle_alpha 90.00
_cell_angle_beta 90.00
_cell_angle_gamma 120.00
_symmetry_space_group_name_H-M 'P -3 m 1'
_symmetry_Int_Tables_number 164
_symmetry_space_group_name_Hall '-P 3 2"'
loop_
_atom_site_label
_atom_site_fract_x
_atom_site_fract_y
_atom_site_fract_z
_atom_site_occupancy
Cs1 0.3333 0.6667 0.2355 1
Li1 0.0000 0.0000 0.0000 1
Ru1 0.0000 0.0000 0.5000 1
O1 0.1361 0.2722 0.7163 1

=====

Record 19
# CdSnSe2 (PBE, relaxed)
# - electronic total energy (eV/atom) = -3.379
# - M_tot (μB per formula unit) = 0.00
# - calculated volume (Å³ per atom) = 25.93
# - formation energy without anion corrections (eV/atom) = -0.4067
data_CdSnSe2
_cell_length_a 4.0987
_cell_length_b 4.0987
_cell_length_c 21.3896
_cell_angle_alpha 90.00
_cell_angle_beta 90.00
_cell_angle_gamma 120.00
_symmetry_space_group_name_H-M 'R 3 m'
_symmetry_Int_Tables_number 160
_symmetry_space_group_name_Hall 'R 3 -2"'
loop_
_atom_site_label
_atom_site_fract_x
_atom_site_fract_y
_atom_site_fract_z
_atom_site_occupancy
Cd1 0.0000 0.0000 0.0000 1
Sn1 0.0000 0.0000 0.8309 1
Se1 0.0000 0.0000 0.4059 1
Se2 0.0000 0.0000 0.5861 1

=====

Record 20
# La2TlW (PBE, relaxed)
# - electronic total energy (eV/atom) = -5.725
# - M_tot (μB per formula unit) = 0.00
# - calculated volume (Å³ per atom) = 26.64
# - formation energy (eV/atom) = 0.57
data_La2TlW
_cell_length_a 3.511
_cell_length_b 5.469
_cell_length_c 11.101
_cell_angle_alpha 90.00
_cell_angle_beta 90.00
_cell_angle_gamma 90.00
_symmetry_space_group_name_H-M 'C m m 2'
_symmetry_Int_Tables_number 35
loop_
_symmetry_equiv_pos_as_xyz
'x,y,z'
'-x,-y,z'
'-x,y,z'
'x,-y,z'
'x+1/2,y+1/2,z'
'-x+1/2,-y+1/2,z'
'-x+1/2,y+1/2,z'
'x+1/2,-y+1/2,z'
loop_
_atom_site_label
_atom_site_fract_x
_atom_site_fract_y
_atom_site_fract_z
_atom_site_occupancy
La1 0.000 0.000 0.000 1
La2 0.000 0.500 0.322 1
Tl1 0.000 0.500 0.739 1
W1 0.000 0.000 0.529 1